{
  "formula": "NiAg2PO4",
  "functional": "GGA+U",
  "state": "optimized geometry",
  "magmom_total_mub_per_fu": 2.00,
  "e_tot_ev_per_fu": -42.68,
  "vol_a3_per_atom": 13.81,
  "lattice_angstrom": [[4.868, 0.000, 0.000], [0.000, 7.300, 0.000], [0.000, 0.000, 6.219]],
  "species": ["Ag", "Ag", "Ag", "Ag", "O", "O", "O", "O", "O", "O", "O", "O", "Ni", "Ni", "P", "P"],
  "frac_coords": [[0.985, 0.608, 0.739], [0.485, 0.392, 0.239], [0.985, 0.608, 0.261], [0.485, 0.392, 0.761], [0.409, 0.783, 0.298], [0.409, 0.783, 0.702], [0.824, 0.897, 0.500], [0.909, 0.217, 0.202], [0.909, 0.217, 0.798], [0.892, 0.909, 0.000], [0.392, 0.091, 0.500], [0.324, 0.103, 0.000], [0.990, 0.144, 0.500], [0.490, 0.856, 0.000], [0.006, 0.108, 0.000], [0.506, 0.892, 0.500]]
}